The following is a DFT calculation (GGA-PBE) of a relaxed structure of VZnHg2Cl.

```
VZnHg2Cl
1.0
5.406 0.000 0.000
0.000 5.406 0.000
0.000 0.000 5.183
V Zn Hg Cl
1 1 2 1
Direct
0.000 0.000 0.000
0.000 0.000 0.500
0.000 0.500 0.000
0.500 0.000 0.000
0.500 0.500 0.500
```

Summary:
density of states at the Fermi level: 1.01 states/eV per atom
calculated density: 6.06 g/cm³
symmetry: No. 123
crystal system: tetragonal
total moment: 3.90 Bohr magnetons per cell
DFT total energy: -2.14 eV per atom